{
  "formula": "La2CdBr",
  "functional": "PBE-GGA",
  "state": "optimized geometry",
  "cell": [[3.968, 0.000, 0.000], [0.000, 5.063, 0.000], [0.000, 0.000, 6.361]],
  "species": ["La", "La", "Cd", "Br"],
  "fractional_positions": [[0.000, 0.000, 0.000], [0.500, 0.000, 0.500], [0.000, 0.500, 0.500], [0.500, 0.500, 0.000]],
  "relative_energy_mev_per_atom": 277,
  "e_form_raw_ev_per_fu": -1.9
}